(1)
# MnAgPCl2 SCAN PBEsol geometry
# Crystal system: tetragonal
# DOS(E_F), states/eV/f.u.: 1.74
# ΔE_f (raw), meV per atom: -150
data_MnAgPCl2
_chemical_formula_sum 'Mn1 Ag1 P1 Cl2'
_cell_length_a 4.567
_cell_length_b 4.567
_cell_length_c 4.731
_cell_angle_alpha 90.00
_cell_angle_beta 90.00
_cell_angle_gamma 90.00
_space_group_name_H-M_alt 'P 4/m m m'
_space_group_IT_number 123
_space_group_name_Hall '-P 4 2'
loop_
_atom_site_label
_atom_site_fract_x
_atom_site_fract_y
_atom_site_fract_z
Mn1 0.000 0.000 0.000
Ag1 0.500 0.500 0.500
P1 0.000 0.000 0.500
Cl1 0.000 0.500 0.000

(2)
# MnAg2PbCl SCAN PBEsol geometry
# Crystal system: tetragonal
# DOS(E_F), states/eV/f.u.: 2.80
# ΔE_f (raw), meV per atom: 249
data_MnAg2PbCl
_chemical_formula_sum 'Mn1 Ag2 Pb1 Cl1'
_cell_length_a 5.093
_cell_length_b 5.093
_cell_length_c 4.378
_cell_angle_alpha 90.00
_cell_angle_beta 90.00
_cell_angle_gamma 90.00
_space_group_name_H-M_alt 'P 4/m m m'
_space_group_IT_number 123
_space_group_name_Hall '-P 4 2'
loop_
_atom_site_label
_atom_site_fract_x
_atom_site_fract_y
_atom_site_fract_z
Mn1 0.000 0.000 0.000
Ag1 0.000 0.500 0.000
Pb1 0.500 0.500 0.500
Cl1 0.000 0.000 0.500

(3)
# MnAgSCl2 SCAN PBEsol geometry
# Crystal system: tetragonal
# DOS(E_F), states/eV/f.u.: 1.05
# ΔE_f (raw), meV per atom: -58
data_MnAgSCl2
_chemical_formula_sum 'Mn1 Ag1 S1 Cl2'
_cell_length_a 4.790
_cell_length_b 4.790
_cell_length_c 4.903
_cell_angle_alpha 90.00
_cell_angle_beta 90.00
_cell_angle_gamma 90.00
_space_group_name_H-M_alt 'P 4/m m m'
_space_group_IT_number 123
_space_group_name_Hall '-P 4 2'
loop_
_atom_site_label
_atom_site_fract_x
_atom_site_fract_y
_atom_site_fract_z
Mn1 0.000 0.000 0.000
Ag1 0.500 0.500 0.500
S1 0.500 0.500 0.000
Cl1 0.000 0.500 0.500

(4)
# AgMoCl2 SCAN PBEsol geometry
# Crystal system: monoclinic
# DOS(E_F), states/eV/f.u.: 1.57
# Energy relative to the lowest polymorph listed for this composition, meV per atom: 0.0
# ΔE_f (raw), meV per atom: -107
data_AgMoCl2
_chemical_formula_sum 'Ag2 Mo2 Cl4'
_cell_length_a 10.293
_cell_length_b 2.915
_cell_length_c 6.493
_cell_angle_alpha 90.00
_cell_angle_beta 115.11
_cell_angle_gamma 90.00
_space_group_name_H-M_alt 'C 1 m 1'
_space_group_IT_number 8
_space_group_name_Hall 'C -2y'
loop_
_atom_site_label
_atom_site_fract_x
_atom_site_fract_y
_atom_site_fract_z
Ag1 0.000 0.000 0.000
Mo1 0.236 0.500 0.000
Cl1 0.163 0.000 0.682
Cl2 0.334 0.000 0.318

(5)
# AgMoCl2 SCAN PBEsol geometry
# Crystal system: tetragonal
# DOS(E_F), states/eV/f.u.: 2.56
# Energy relative to the lowest polymorph listed for this composition, meV per atom: 161.7
# ΔE_f (raw), meV per atom: 55
data_AgMoCl2
_chemical_formula_sum 'Ag1 Mo1 Cl2'
_cell_length_a 2.990
_cell_length_b 2.990
_cell_length_c 7.812
_cell_angle_alpha 90.00
_cell_angle_beta 90.00
_cell_angle_gamma 90.00
_space_group_name_H-M_alt 'P 4 m m'
_space_group_IT_number 99
_space_group_name_Hall 'P 4 -2'
loop_
_atom_site_label
_atom_site_fract_x
_atom_site_fract_y
_atom_site_fract_z
Ag1 0.000 0.000 0.000
Mo1 0.500 0.500 0.754
Cl1 0.000 0.000 0.574
Cl2 0.500 0.500 0.212

(6)
# AgMoCl SCAN PBEsol geometry
# Crystal system: cubic
# DOS(E_F), states/eV/f.u.: 0.84
# ΔE_f (raw), meV per atom: 1351
data_AgMoCl
_chemical_formula_sum 'Ag4 Mo4 Cl4'
_cell_length_a 5.895
_cell_length_b 5.895
_cell_length_c 5.895
_cell_angle_alpha 90.00
_cell_angle_beta 90.00
_cell_angle_gamma 90.00
_space_group_name_H-M_alt 'F -4 3 m'
_space_group_IT_number 216
_space_group_name_Hall 'F -4 2 3'
loop_
_atom_site_label
_atom_site_fract_x
_atom_site_fract_y
_atom_site_fract_z
Ag1 0.000 0.000 0.000
Mo1 0.000 0.000 0.500
Cl1 0.250 0.250 0.750